## A
A relaxed ScRePS2 crystal, computed with GGA-PBE.

Cell: 4.7702 4.7702 5.0778 Å, 90.00 90.00 90.00°
Closest atoms and distances in Å follow each position.
Positions (direct):
Sc 0.0000 0.0000 0.0000  4 S 2.39, 2 P 2.54
Re 0.5000 0.5000 0.5000  4 P 3.37, 8 S 3.48
S 0.0000 0.5000 0.0000  2 Sc 2.39
S 0.5000 0.0000 0.0000  2 Sc 2.39
P 0.0000 0.0000 0.5000  2 Sc 2.54

Computed properties:
M_tot: 3.3 Bohr magnetons per cell
space group: P4/mmm, No. 123

=====

## B
A relaxed ScRePS2 crystal, computed with GGA-PBE.

Cell: 4.6942 4.6942 4.5665 Å, 90.00 90.00 90.00°
Closest atoms and distances in Å follow each position.
Positions (direct):
Sc 0.5000 0.5000 0.5000  8 S 3.27, 4 P 3.32
Re 0.0000 0.0000 0.0000  2 P 2.28, 4 S 2.35
S 0.0000 0.5000 0.0000  2 Re 2.35
S 0.5000 0.0000 0.0000  2 Re 2.35
P 0.0000 0.0000 0.5000  2 Re 2.28

Computed properties:
M_tot: 0.0 Bohr magnetons per cell
space group: P4/mmm, No. 123

=====

Most stable structure: B

=====

## A
A relaxed RePSeS2 crystal, computed with GGA-PBE.

Cell: 4.5203 4.5203 4.6208 Å, 90.00 90.00 90.00°
Closest atoms and distances in Å follow each position.
Positions (direct):
Re 0.5000 0.5000 0.5000  4 P 3.20, 8 S 3.23
S 0.0000 0.5000 0.0000  2 Se 2.26
S 0.5000 0.0000 0.0000  2 Se 2.26
Se 0.0000 0.0000 0.0000  4 S 2.26, 2 P 2.31
P 0.0000 0.0000 0.5000  2 Se 2.31

Computed properties:
M_tot: 0.0 Bohr magnetons per cell
space group: P4/mmm, No. 123

=====

## B
A relaxed RePSeS2 crystal, computed with GGA-PBE.

Cell: 4.4923 4.4923 4.9455 Å, 90.00 90.00 90.00°
Closest atoms and distances in Å follow each position.
Positions (direct):
Re 0.0000 0.0000 0.0000  4 S 2.25, 2 P 2.47
S 0.0000 0.5000 0.0000  2 Re 2.25
S 0.5000 0.0000 0.0000  2 Re 2.25
Se 0.5000 0.5000 0.5000  4 P 3.18, 8 S 3.34
P 0.0000 0.0000 0.5000  2 Re 2.47

Computed properties:
M_tot: 0.0 Bohr magnetons per cell
space group: P4/mmm, No. 123

=====

Most stable structure: B

=====

## A
A relaxed TaReP2S crystal, computed with GGA-PBE.

Cell: 4.6155 4.6155 4.5630 Å, 90.00 90.00 90.00°
Closest atoms and distances in Å follow each position.
Positions (direct):
Re 0.0000 0.0000 0.0000  2 S 2.28, 4 P 2.31
S 0.0000 0.0000 0.5000  2 Re 2.28
P 0.0000 0.5000 0.0000  2 Re 2.31
P 0.5000 0.0000 0.0000  2 Re 2.31
Ta 0.5000 0.5000 0.5000  8 P 3.25, 4 S 3.26

Computed properties:
M_tot: 2.6 Bohr magnetons per cell
space group: P4/mmm, No. 123

=====

## B
A relaxed TaReP2S crystal, computed with GGA-PBE.

Cell: 4.8751 4.8751 4.6149 Å, 90.00 90.00 90.00°
Closest atoms and distances in Å follow each position.
Positions (direct):
Re 0.5000 0.5000 0.5000  8 P 3.36, 4 S 3.45
S 0.0000 0.0000 0.5000  2 Ta 2.31
P 0.0000 0.5000 0.0000  2 Ta 2.44
P 0.5000 0.0000 0.0000  2 Ta 2.44
Ta 0.0000 0.0000 0.0000  2 S 2.31, 4 P 2.44

Computed properties:
M_tot: 4.2 Bohr magnetons per cell
space group: P4/mmm, No. 123

=====

Most stable structure: A

=====

## A
A relaxed ReTcP2S crystal, computed with GGA-PBE.

Cell: 4.7057 4.7057 4.4619 Å, 90.00 90.00 90.00°
Closest atoms and distances in Å follow each position.
Positions (direct):
Re 0.0000 0.0000 0.0000  2 S 2.23, 4 P 2.35
S 0.0000 0.0000 0.5000  2 Re 2.23
Tc 0.5000 0.5000 0.5000  8 P 3.24, 4 S 3.33
P 0.0000 0.5000 0.0000  2 Re 2.35
P 0.5000 0.0000 0.0000  2 Re 2.35

Computed properties:
M_tot: 3.1 Bohr magnetons per cell
space group: P4/mmm, No. 123

=====

## B
A relaxed ReTcP2S crystal, computed with GGA-PBE.

Cell: 4.7028 4.7028 4.3652 Å, 90.00 90.00 90.00°
Closest atoms and distances in Å follow each position.
Positions (direct):
Re 0.5000 0.5000 0.5000  8 P 3.21, 4 S 3.33
S 0.0000 0.0000 0.5000  2 Tc 2.18
Tc 0.0000 0.0000 0.0000  2 S 2.18, 4 P 2.35
P 0.0000 0.5000 0.0000  2 Tc 2.35
P 0.5000 0.0000 0.0000  2 Tc 2.35

Computed properties:
M_tot: 3.0 Bohr magnetons per cell
space group: P4/mmm, No. 123

=====

Most stable structure: A

=====

## A
A relaxed ReTcPS2 crystal, computed with GGA-PBE.

Cell: 4.4162 4.4162 5.1776 Å, 90.00 90.00 90.00°
Closest atoms and distances in Å follow each position.
Positions (direct):
Re 0.5000 0.5000 0.5000  4 P 3.12, 8 S 3.40
S 0.0000 0.5000 0.0000  2 Tc 2.21
S 0.5000 0.0000 0.0000  2 Tc 2.21
Tc 0.0000 0.0000 0.0000  4 S 2.21
P 0.0000 0.0000 0.5000  2 Tc 2.59

Computed properties:
M_tot: 4.0 Bohr magnetons per cell
space group: P4/mmm, No. 123

=====

## B
A relaxed ReTcPS2 crystal, computed with GGA-PBE.

Cell: 4.4625 4.4625 5.1206 Å, 90.00 90.00 90.00°
Closest atoms and distances in Å follow each position.
Positions (direct):
Re 0.0000 0.0000 0.0000  4 S 2.23
S 0.0000 0.5000 0.0000  2 Re 2.23
S 0.5000 0.0000 0.0000  2 Re 2.23
Tc 0.5000 0.5000 0.5000  4 P 3.16, 8 S 3.40
P 0.0000 0.0000 0.5000  2 Re 2.56

Computed properties:
M_tot: 3.8 Bohr magnetons per cell
space group: P4/mmm, No. 123

=====

Most stable structure: B

=====

## A
A relaxed ReTePS2 crystal, computed with GGA-PBE.

Cell: 4.5294 4.5294 5.0028 Å, 90.00 90.00 90.00°
Closest atoms and distances in Å follow each position.
Positions (direct):
Re 0.0000 0.0000 0.0000  4 S 2.26, 2 P 2.50
S 0.0000 0.5000 0.0000  2 Re 2.26
S 0.5000 0.0000 0.0000  2 Re 2.26
Te 0.5000 0.5000 0.5000  4 P 3.20, 8 S 3.37
P 0.0000 0.0000 0.5000  2 Re 2.50

Computed properties:
M_tot: 0.0 Bohr magnetons per cell
space group: P4/mmm, No. 123

=====

## B
A relaxed ReTePS2 crystal, computed with GGA-PBE.

Cell: 4.9145 4.9145 5.2528 Å, 90.00 90.00 90.00°
Closest atoms and distances in Å follow each position.
Positions (direct):
Re 0.5000 0.5000 0.5000  4 P 3.48, 8 S 3.60
S 0.0000 0.5000 0.0000  2 Te 2.46
S 0.5000 0.0000 0.0000  2 Te 2.46
Te 0.0000 0.0000 0.0000  4 S 2.46, 2 P 2.63
P 0.0000 0.0000 0.5000  2 Te 2.63

Computed properties:
M_tot: 4.2 Bohr magnetons per cell
space group: P4/mmm, No. 123

=====

Most stable structure: A